Density functional theory data (PBE) for a relaxed structure of ZrMo4Au.

space-group type: No. 216
total DFT energy (no corrections): -9.035 eV/atom
formation enthalpy at 0 K: 0.16 eV/atom

The structure in CIF format:
```
data_ZrMo4Au
_cell_length_a 5.311
_cell_length_b 5.311
_cell_length_c 5.311
_cell_angle_alpha 60.00
_cell_angle_beta 60.00
_cell_angle_gamma 60.00
_symmetry_space_group_name_H-M 'P 1'
_symmetry_Int_Tables_number 1
loop_
_symmetry_equiv_pos_as_xyz
'x,y,z'
loop_
_atom_site_label
_atom_site_fract_x
_atom_site_fract_y
_atom_site_fract_z
Zr1 0.000 0.000 0.000
Mo1 0.375 0.375 0.375
Mo2 0.375 0.375 0.875
Mo3 0.375 0.875 0.375
Mo4 0.875 0.375 0.375
Au1 0.750 0.750 0.750
```

Density functional theory data (PBE) for a relaxed structure of ZrMo2Au.

offset from the most stable computed form: 192 meV/atom
space-group type: No. 12
total DFT energy (no corrections): -8.250 eV/atom
formation enthalpy at 0 K: 0.12 eV/atom

The structure in CIF format:
```
data_ZrMo2Au
_cell_length_a 5.572
_cell_length_b 5.572
_cell_length_c 2.761
_cell_angle_alpha 99.92
_cell_angle_beta 99.92
_cell_angle_gamma 119.18
_symmetry_space_group_name_H-M 'P 1'
_symmetry_Int_Tables_number 1
loop_
_symmetry_equiv_pos_as_xyz
'x,y,z'
loop_
_atom_site_label
_atom_site_fract_x
_atom_site_fract_y
_atom_site_fract_z
Zr1 0.000 0.000 0.000
Mo1 0.000 0.500 0.500
Mo2 0.500 0.000 0.500
Au1 0.500 0.500 0.000
```

Density functional theory data (PBE) for a relaxed structure of ZrMo2Au.

offset from the most stable computed form: 87 meV/atom
space-group type: No. 6
total DFT energy (no corrections): -8.354 eV/atom
formation enthalpy at 0 K: 0.02 eV/atom

The structure in CIF format:
```
data_ZrMo2Au
_cell_length_a 2.860
_cell_length_b 4.301
_cell_length_c 5.900
_cell_angle_alpha 90.00
_cell_angle_beta 99.66
_cell_angle_gamma 90.00
_symmetry_space_group_name_H-M 'P 1'
_symmetry_Int_Tables_number 1
loop_
_symmetry_equiv_pos_as_xyz
'x,y,z'
loop_
_atom_site_label
_atom_site_fract_x
_atom_site_fract_y
_atom_site_fract_z
Zr1 0.000 0.000 0.000
Mo1 0.183 0.000 0.531
Mo2 0.532 0.500 0.730
Au1 0.591 0.500 0.254
```

Density functional theory data (PBE) for a relaxed structure of ZrMo2Au.

offset from the most stable computed form: 208 meV/atom
space-group type: No. 99
total DFT energy (no corrections): -8.234 eV/atom
formation enthalpy at 0 K: 0.14 eV/atom

The structure in CIF format:
```
data_ZrMo2Au
_cell_length_a 2.775
_cell_length_b 2.775
_cell_length_c 9.170
_cell_angle_alpha 90.00
_cell_angle_beta 90.00
_cell_angle_gamma 90.00
_symmetry_space_group_name_H-M 'P 1'
_symmetry_Int_Tables_number 1
loop_
_symmetry_equiv_pos_as_xyz
'x,y,z'
loop_
_atom_site_label
_atom_site_fract_x
_atom_site_fract_y
_atom_site_fract_z
Zr1 0.000 0.000 0.000
Mo1 0.000 0.000 0.498
Mo2 0.500 0.500 0.741
Au1 0.500 0.500 0.261
```

Density functional theory data (PBE) for a relaxed structure of ZrMoAu.

offset from the most stable computed form: 0 meV/atom
space-group type: No. 42
total DFT energy (no corrections): -7.554 eV/atom
formation enthalpy at 0 K: 0.00 eV/atom

The structure in CIF format:
```
data_ZrMoAu
_cell_length_a 7.140
_cell_length_b 7.031
_cell_length_c 2.870
_cell_angle_alpha 80.45
_cell_angle_beta 76.20
_cell_angle_gamma 23.35
_symmetry_space_group_name_H-M 'P 1'
_symmetry_Int_Tables_number 1
loop_
_symmetry_equiv_pos_as_xyz
'x,y,z'
loop_
_atom_site_label
_atom_site_fract_x
_atom_site_fract_y
_atom_site_fract_z
Zr1 0.000 0.000 0.000
Mo1 0.335 0.335 0.665
Au1 0.673 0.673 0.327
```

Density functional theory data (PBE) for a relaxed structure of ZrMoAu3.

offset from the most stable computed form: 0 meV/atom
space-group type: No. 221
total DFT energy (no corrections): -4.820 eV/atom
formation enthalpy at 0 K: 1.02 eV/atom

The structure in CIF format:
```
data_ZrMoAu3
_cell_length_a 4.954
_cell_length_b 4.954
_cell_length_c 4.954
_cell_angle_alpha 90.00
_cell_angle_beta 90.00
_cell_angle_gamma 90.00
_symmetry_space_group_name_H-M 'P 1'
_symmetry_Int_Tables_number 1
loop_
_symmetry_equiv_pos_as_xyz
'x,y,z'
loop_
_atom_site_label
_atom_site_fract_x
_atom_site_fract_y
_atom_site_fract_z
Zr1 0.000 0.000 0.000
Mo1 0.500 0.500 0.500
Au1 0.000 0.500 0.500
Au2 0.500 0.000 0.500
Au3 0.500 0.500 0.000
```

Density functional theory data (PBE) for a relaxed structure of ZrMo2Au.

offset from the most stable computed form: 474 meV/atom
space-group type: No. 166
total DFT energy (no corrections): -7.968 eV/atom
formation enthalpy at 0 K: 0.40 eV/atom

The structure in CIF format:
```
data_ZrMo2Au
_cell_length_a 10.212
_cell_length_b 10.212
_cell_length_c 10.212
_cell_angle_alpha 16.13
_cell_angle_beta 16.13
_cell_angle_gamma 16.13
_symmetry_space_group_name_H-M 'P 1'
_symmetry_Int_Tables_number 1
loop_
_symmetry_equiv_pos_as_xyz
'x,y,z'
loop_
_atom_site_label
_atom_site_fract_x
_atom_site_fract_y
_atom_site_fract_z
Zr1 0.000 0.000 0.000
Mo1 0.246 0.246 0.246
Mo2 0.754 0.754 0.754
Au1 0.500 0.500 0.500
```

Density functional theory data (PBE) for a relaxed structure of ZrMo2Au.

offset from the most stable computed form: 129 meV/atom
space-group type: No. 119
total DFT energy (no corrections): -8.312 eV/atom
formation enthalpy at 0 K: 0.06 eV/atom

The structure in CIF format:
```
data_ZrMo2Au
_cell_length_a 4.899
_cell_length_b 4.899
_cell_length_c 4.899
_cell_angle_alpha 128.26
_cell_angle_beta 128.26
_cell_angle_gamma 76.21
_symmetry_space_group_name_H-M 'P 1'
_symmetry_Int_Tables_number 1
loop_
_symmetry_equiv_pos_as_xyz
'x,y,z'
loop_
_atom_site_label
_atom_site_fract_x
_atom_site_fract_y
_atom_site_fract_z
Zr1 0.000 0.000 0.000
Mo1 0.500 0.500 0.000
Mo2 0.750 0.250 0.500
Au1 0.250 0.750 0.500
```

Density functional theory data (PBE) for a relaxed structure of ZrMo2Au.

offset from the most stable computed form: 92 meV/atom
space-group type: No. 35
total DFT energy (no corrections): -8.350 eV/atom
formation enthalpy at 0 K: 0.02 eV/atom

The structure in CIF format:
```
data_ZrMo2Au
_cell_length_a 2.857
_cell_length_b 2.857
_cell_length_c 9.177
_cell_angle_alpha 90.00
_cell_angle_beta 90.00
_cell_angle_gamma 108.79
_symmetry_space_group_name_H-M 'P 1'
_symmetry_Int_Tables_number 1
loop_
_symmetry_equiv_pos_as_xyz
'x,y,z'
loop_
_atom_site_label
_atom_site_fract_x
_atom_site_fract_y
_atom_site_fract_z
Zr1 0.000 0.000 0.000
Mo1 0.000 0.000 0.520
Mo2 0.500 0.500 0.742
Au1 0.500 0.500 0.266
```

Density functional theory data (PBE) for a relaxed structure of Au4N.

space-group type: No. 221
total DFT energy (no corrections): -3.542 eV/atom
raw formation energy: 0.74 eV per atom

The structure in CIF format:
```
data_Au4N
_cell_length_a 4.401
_cell_length_b 4.401
_cell_length_c 4.401
_cell_angle_alpha 90.00
_cell_angle_beta 90.00
_cell_angle_gamma 90.00
_symmetry_space_group_name_H-M 'P 1'
_symmetry_Int_Tables_number 1
loop_
_symmetry_equiv_pos_as_xyz
'x,y,z'
loop_
_atom_site_label
_atom_site_fract_x
_atom_site_fract_y
_atom_site_fract_z
Au1 0.000 0.000 0.000
Au2 0.000 0.500 0.500
Au3 0.500 0.000 0.500
Au4 0.500 0.500 0.000
N1 0.500 0.500 0.500
```

Density functional theory data (PBE) for a relaxed structure of AuN2.

space-group type: No. 205
total DFT energy (no corrections): -5.778 eV/atom
raw formation energy: 0.86 eV per atom

The structure in CIF format:
```
data_AuN2
_cell_length_a 5.616
_cell_length_b 5.616
_cell_length_c 5.616
_cell_angle_alpha 90.00
_cell_angle_beta 90.00
_cell_angle_gamma 90.00
_symmetry_space_group_name_H-M 'P 1'
_symmetry_Int_Tables_number 1
loop_
_symmetry_equiv_pos_as_xyz
'x,y,z'
loop_
_atom_site_label
_atom_site_fract_x
_atom_site_fract_y
_atom_site_fract_z
Au1 0.000 0.000 0.000
Au2 0.000 0.500 0.500
Au3 0.500 0.000 0.500
Au4 0.500 0.500 0.000
N1 0.060 0.560 0.940
N2 0.060 0.940 0.440
N3 0.440 0.060 0.940
N4 0.440 0.440 0.440
N5 0.560 0.560 0.560
N6 0.560 0.940 0.060
N7 0.940 0.060 0.560
N8 0.940 0.440 0.060
```

Density functional theory data (PBE) for a relaxed structure of AuN2.

space-group type: No. 58
total DFT energy (no corrections): -5.973 eV/atom
raw formation energy: 0.67 eV per atom

The structure in CIF format:
```
data_AuN2
_cell_length_a 5.032
_cell_length_b 6.208
_cell_length_c 2.941
_cell_angle_alpha 90.00
_cell_angle_beta 90.00
_cell_angle_gamma 90.00
_symmetry_space_group_name_H-M 'P 1'
_symmetry_Int_Tables_number 1
loop_
_symmetry_equiv_pos_as_xyz
'x,y,z'
loop_
_atom_site_label
_atom_site_fract_x
_atom_site_fract_y
_atom_site_fract_z
Au1 0.000 0.000 0.000
Au2 0.500 0.500 0.500
N1 0.084 0.435 0.500
N2 0.416 0.935 0.000
N3 0.584 0.065 0.000
N4 0.916 0.565 0.500
```

Density functional theory data (PBE) for a relaxed structure of NaAu2N.

space-group type: No. 122
total DFT energy (no corrections): -3.779 eV/atom
raw formation energy: 0.27 eV per atom

The structure in CIF format:
```
data_NaAu2N
_cell_length_a 6.975
_cell_length_b 6.975
_cell_length_c 6.975
_cell_angle_alpha 129.29
_cell_angle_beta 129.29
_cell_angle_gamma 74.55
_symmetry_space_group_name_H-M 'P 1'
_symmetry_Int_Tables_number 1
loop_
_symmetry_equiv_pos_as_xyz
'x,y,z'
loop_
_atom_site_label
_atom_site_fract_x
_atom_site_fract_y
_atom_site_fract_z
Na1 0.000 0.000 0.000
Na2 0.750 0.250 0.500
Au1 0.372 0.625 0.247
Au2 0.375 0.622 0.747
Au3 0.378 0.125 0.753
Au4 0.875 0.628 0.253
N1 0.250 0.750 0.500
N2 0.500 0.500 0.000
```

Density functional theory data (PBE) for a relaxed structure of Na3AuN2.

space-group type: No. 141
total DFT energy (no corrections): -3.706 eV/atom
raw formation energy: 0.27 eV per atom

The structure in CIF format:
```
data_Na3AuN2
_cell_length_a 8.758
_cell_length_b 8.758
_cell_length_c 8.758
_cell_angle_alpha 123.02
_cell_angle_beta 123.02
_cell_angle_gamma 84.84
_symmetry_space_group_name_H-M 'P 1'
_symmetry_Int_Tables_number 1
loop_
_symmetry_equiv_pos_as_xyz
'x,y,z'
loop_
_atom_site_label
_atom_site_fract_x
_atom_site_fract_y
_atom_site_fract_z
Na1 0.095 0.345 0.189
Na2 0.095 0.905 0.750
Na3 0.257 0.507 0.750
Na4 0.345 0.095 0.689
Na5 0.345 0.655 0.250
Na6 0.493 0.743 0.750
Na7 0.507 0.257 0.250
Na8 0.655 0.345 0.750
Na9 0.655 0.905 0.311
Na10 0.743 0.493 0.250
Na11 0.905 0.095 0.250
Na12 0.905 0.655 0.811
Au1 0.028 0.278 0.750
Au2 0.278 0.028 0.250
Au3 0.722 0.972 0.750
Au4 0.972 0.722 0.250
N1 0.201 0.719 0.481
N2 0.262 0.281 0.981
N3 0.281 0.262 0.481
N4 0.281 0.799 0.019
N5 0.719 0.201 0.981
N6 0.719 0.738 0.519
N7 0.738 0.719 0.019
N8 0.799 0.281 0.519
```